KZrAs2 (PBE, relaxed); N(E_F) = 0.44 states/eV per atom; formation enthalpy at 0 K = -0.6661 eV/atom; E = -5.40 eV/atom
1.0
6.6475 0.0000 0.0000
0.0000 3.8232 0.0000
-2.1977 0.0000 8.2014
K Zr As
2 2 4
direct
0.0000 0.0000 0.0000
0.5000 0.5000 0.0000
0.0000 0.5000 0.5000
0.5000 0.0000 0.5000
0.2334 0.0000 0.7011
0.2666 0.5000 0.2989
0.7334 0.5000 0.7011
0.7666 0.0000 0.2989

KZrAs2 (PBE, relaxed); N(E_F) = 0.54 states/eV per atom; formation enthalpy at 0 K = -0.2856 eV/atom; E = -5.02 eV/atom
1.0
5.4112 0.0000 0.0000
0.0000 5.4112 0.0000
0.0000 0.0000 3.1138
K Zr As
1 1 2
direct
0.0000 0.0000 0.0000
0.5000 0.5000 0.2802
0.0000 0.5000 0.5358
0.5000 0.0000 0.5358

KZr4As (PBE, relaxed); N(E_F) = 1.52 states/eV per atom; formation enthalpy at 0 K = 0.6798 eV/atom; E = -5.98 eV/atom
1.0
0.0000 4.2350 4.2350
4.2350 0.0000 4.2350
4.2350 4.2350 0.0000
K Zr As
1 4 1
direct
0.0000 0.0000 0.0000
0.1215 0.6262 0.6262
0.6262 0.1215 0.6262
0.6262 0.6262 0.1215
0.6262 0.6262 0.6262
0.2500 0.2500 0.2500

KZrAs2 (PBE, relaxed); N(E_F) = 0.41 states/eV per atom; formation enthalpy at 0 K = -0.4646 eV/atom; E = -5.20 eV/atom
1.0
3.6726 0.0000 0.0000
0.0000 3.6726 0.0000
0.0000 0.0000 8.7584
K Zr As
1 1 2
direct
0.0000 0.0000 0.0000
0.5000 0.5000 0.4703
0.0000 0.0000 0.3772
0.5000 0.5000 0.7641

KZrAs3 (PBE, relaxed); N(E_F) = 1.03 states/eV per atom; formation enthalpy at 0 K = 1.4257 eV/atom; E = -3.29 eV/atom
1.0
5.1201 0.0000 0.0000
0.0000 5.1201 0.0000
0.0000 0.0000 5.1201
K Zr As
1 1 3
direct
0.0000 0.0000 0.0000
0.5000 0.5000 0.5000
0.0000 0.0000 0.5000
0.0000 0.5000 0.0000
0.5000 0.0000 0.0000

KZrAs2 (PBE, relaxed); N(E_F) = 0.37 states/eV per atom; formation enthalpy at 0 K = -0.0615 eV/atom; E = -4.80 eV/atom
1.0
4.1652 0.0000 0.0000
0.0000 4.1652 0.0000
0.0000 0.0000 10.2356
K Zr As
2 2 4
direct
0.0000 0.0000 0.0000
0.5000 0.5000 0.5000
0.0000 0.5000 0.7500
0.5000 0.0000 0.2500
0.0000 0.0000 0.5000
0.0000 0.5000 0.2500
0.5000 0.0000 0.7500
0.5000 0.5000 0.0000

KZrAs3 (PBE, relaxed); N(E_F) = 0.96 states/eV per atom; formation enthalpy at 0 K = -0.2661 eV/atom; E = -4.98 eV/atom
1.0
5.2662 0.0000 0.0000
0.0000 5.2662 0.0000
0.0000 0.0000 5.2662
K Zr As
1 1 3
direct
0.0000 0.0000 0.0000
0.5000 0.5000 0.5000
0.0000 0.5000 0.5000
0.5000 0.0000 0.5000
0.5000 0.5000 0.0000

KZrAs2 (PBE, relaxed); N(E_F) = 0.59 states/eV per atom; formation enthalpy at 0 K = -0.1670 eV/atom; E = -4.90 eV/atom
1.0
4.3668 0.0000 0.0000
0.0000 5.7539 0.0000
0.0000 0.0000 7.7447
K Zr As
2 2 4
direct
0.0000 0.0000 0.0000
0.5000 0.5000 0.5000
0.0000 0.0000 0.5000
0.5000 0.5000 0.0000
0.0000 0.5000 0.2241
0.0000 0.5000 0.7759
0.5000 0.0000 0.2759
0.5000 0.0000 0.7241

KZrAs2 (PBE, relaxed); N(E_F) = 0.38 states/eV per atom; formation enthalpy at 0 K = -0.2381 eV/atom; E = -4.97 eV/atom
1.0
7.7091 0.0000 0.0000
0.0000 7.7108 0.0000
-0.3878 0.0000 2.9816
K Zr As
2 2 4
direct
0.0000 0.0000 0.0000
0.5000 0.5000 0.0000
0.0000 0.5000 0.0000
0.5000 0.0000 0.0000
0.2500 0.2500 0.5000
0.2500 0.7500 0.5000
0.7500 0.2500 0.5000
0.7500 0.7500 0.5000

KZrAs2 (PBE, relaxed); N(E_F) = 1.26 states/eV per atom; formation enthalpy at 0 K = 0.3660 eV/atom; E = -4.37 eV/atom
1.0
7.0497 0.0000 0.0000
0.0000 7.0497 0.0000
0.0000 0.0000 7.0497
K Zr As
4 4 8
direct
0.0000 0.0000 0.0000
0.0000 0.5000 0.5000
0.5000 0.0000 0.5000
0.5000 0.5000 0.0000
0.2500 0.2500 0.2500
0.2500 0.7500 0.7500
0.7500 0.2500 0.7500
0.7500 0.7500 0.2500
0.0000 0.0000 0.5000
0.0000 0.5000 0.0000
0.2500 0.2500 0.7500
0.2500 0.7500 0.2500
0.5000 0.0000 0.0000
0.5000 0.5000 0.5000
0.7500 0.2500 0.2500
0.7500 0.7500 0.7500

KZrAs (PBE, relaxed); N(E_F) = 0.98 states/eV per atom; formation enthalpy at 0 K = -0.1062 eV/atom; E = -4.87 eV/atom
1.0
4.5606 0.0000 0.0000
-2.2803 3.9496 0.0000
0.0000 0.0000 5.8891
K Zr As
1 1 1
direct
0.0000 0.0000 0.0000
0.6667 0.3333 0.5000
0.3333 0.6667 0.5000

KZrAs2 (PBE, relaxed); N(E_F) = 0.42 states/eV per atom; formation enthalpy at 0 K = -0.6276 eV/atom; E = -5.36 eV/atom
1.0
3.0055 0.0000 0.0000
0.0000 3.7407 0.0000
0.0000 0.0000 8.3065
K Zr As
1 1 2
direct
0.0000 0.0000 0.0000
0.0000 0.0000 0.5000
0.5000 0.5000 0.2966
0.5000 0.5000 0.7034

KZrAs2 (PBE, relaxed); N(E_F) = 0.51 states/eV per atom; formation enthalpy at 0 K = -0.1724 eV/atom; E = -4.91 eV/atom
1.0
7.1023 0.0000 0.0000
0.0000 7.1023 0.0000
0.0000 0.0000 7.1023
K Zr As
4 4 8
direct
0.0000 0.0000 0.0000
0.0000 0.5000 0.5000
0.5000 0.0000 0.5000
0.5000 0.5000 0.0000
0.0000 0.0000 0.5000
0.0000 0.5000 0.0000
0.5000 0.0000 0.0000
0.5000 0.5000 0.5000
0.2500 0.2500 0.2500
0.2500 0.2500 0.7500
0.2500 0.7500 0.2500
0.2500 0.7500 0.7500
0.7500 0.2500 0.2500
0.7500 0.2500 0.7500
0.7500 0.7500 0.2500
0.7500 0.7500 0.7500

K2ZrAs2 (PBE, relaxed); N(E_F) = 0.61 states/eV per atom; formation enthalpy at 0 K = -0.2741 eV/atom; E = -4.28 eV/atom
1.0
7.1248 0.0000 0.0000
0.0000 7.1248 0.0000
0.0000 0.0000 5.6714
K Zr As
4 2 4
direct
0.1672 0.3328 0.0000
0.3328 0.8328 0.0000
0.6672 0.1672 0.0000
0.8328 0.6672 0.0000
0.0000 0.0000 0.5000
0.5000 0.5000 0.5000
0.1360 0.6360 0.5000
0.3640 0.1360 0.5000
0.6360 0.8640 0.5000
0.8640 0.3640 0.5000

KZrAs (PBE, relaxed); N(E_F) = 0.24 states/eV per atom; formation enthalpy at 0 K = -0.2136 eV/atom; E = -4.98 eV/atom
1.0
4.0238 0.0000 0.0000
-2.0119 3.4847 0.0000
0.0000 0.0000 7.0957
K Zr As
1 1 1
direct
0.0000 0.0000 0.0000
0.3333 0.6667 0.4900
0.6667 0.3333 0.6551

KZrAs (PBE, relaxed); N(E_F) = 1.53 states/eV per atom; formation enthalpy at 0 K = 0.2091 eV/atom; E = -4.56 eV/atom
1.0
6.9127 0.0000 0.0000
0.0000 6.9127 0.0000
0.0000 0.0000 6.9127
K Zr As
4 4 4
direct
0.0000 0.0000 0.0000
0.0000 0.5000 0.5000
0.5000 0.0000 0.5000
0.5000 0.5000 0.0000
0.0000 0.0000 0.5000
0.0000 0.5000 0.0000
0.5000 0.0000 0.0000
0.5000 0.5000 0.5000
0.2500 0.2500 0.7500
0.2500 0.7500 0.2500
0.7500 0.2500 0.2500
0.7500 0.7500 0.7500

LaAs (PBE, relaxed); N(E_F) = 0.29 states/eV per atom; formation enthalpy at 0 K = -1.1367 eV/atom; E = -5.93 eV/atom
1.0
4.3240 0.0000 0.0000
0.0000 4.3240 0.0000
0.0000 0.0000 11.7105
La As
4 4
direct
0.0000 0.2500 0.3750
0.0000 0.7500 0.6250
0.5000 0.2500 0.1250
0.5000 0.7500 0.8750
0.0000 0.2500 0.8750
0.0000 0.7500 0.1250
0.5000 0.2500 0.6250
0.5000 0.7500 0.3750

La2As (PBE, relaxed); N(E_F) = 0.65 states/eV per atom; formation enthalpy at 0 K = -0.0935 eV/atom; E = -4.93 eV/atom
1.0
7.0792 0.0000 0.0000
-3.5396 6.1308 0.0000
0.0000 0.0000 8.0081
La As
8 4
direct
0.0000 0.0000 0.0000
0.0000 0.0000 0.5000
0.1806 0.3612 0.2500
0.1806 0.8194 0.2500
0.3612 0.1806 0.7500
0.6388 0.8194 0.2500
0.8194 0.1806 0.7500
0.8194 0.6388 0.7500
0.3333 0.6667 0.5663
0.3333 0.6667 0.9337
0.6667 0.3333 0.0663
0.6667 0.3333 0.4337

La3As (PBE, relaxed); N(E_F) = 0.72 states/eV per atom; formation enthalpy at 0 K = -0.6502 eV/atom; E = -5.51 eV/atom
1.0
3.9793 0.0000 0.0000
0.0000 9.6914 0.0000
0.0000 0.0000 6.6357
La As
6 2
direct
0.0000 0.0000 0.0000
0.0000 0.1915 0.5749
0.0000 0.8085 0.5749
0.5000 0.3085 0.0749
0.5000 0.5000 0.5000
0.5000 0.6915 0.0749
0.0000 0.5000 0.8366
0.5000 0.0000 0.3366

La2As (PBE, relaxed); N(E_F) = 1.05 states/eV per atom; formation enthalpy at 0 K = -0.0475 eV/atom; E = -4.88 eV/atom
1.0
0.0000 4.4402 4.4402
4.4402 0.0000 4.4402
4.4402 4.4402 0.0000
La As
4 2
direct
0.0000 0.0000 0.0000
0.0000 0.0000 0.5000
0.0000 0.5000 0.0000
0.5000 0.0000 0.0000
0.3750 0.3750 0.3750
0.6250 0.6250 0.6250